# 1
Material: NbCr2Fe2
Method: DFT, PBE
State: relaxed

Calculated values
- ΔE_f (eV per atom) = 0.15

a b c (Å): 6.882 6.882 2.640
angles (deg): 90.00 90.00 90.00
Sites, in units of the cell vectors:
Nb 0.000 0.000 0.000
Nb 0.500 0.500 0.000
Cr 0.162 0.338 0.500
Cr 0.338 0.838 0.500
Cr 0.662 0.162 0.500
Cr 0.838 0.662 0.500
Fe 0.132 0.632 0.000
Fe 0.368 0.132 0.000
Fe 0.632 0.868 0.000
Fe 0.868 0.368 0.000


# 2
Material: TbCePu2N4
Method: DFT, PBE
State: relaxed

Calculated values
- E_form (uncorrected) (eV/f.u.) = -11.0

a b c (Å): 6.057 3.510 6.082
angles (deg): 90.00 110.08 90.00
Sites, in units of the cell vectors:
Tb 0.000 0.000 0.000
Ce 0.000 0.500 0.500
Pu 0.500 0.000 0.500
Pu 0.500 0.500 0.000
N 0.259 0.000 0.759
N 0.261 0.500 0.256
N 0.739 0.500 0.744
N 0.741 0.000 0.241


# 3
Material: AsHSCl2
Method: DFT, PBE
State: relaxed

a b c (Å): 3.785 3.785 7.636
angles (deg): 90.00 90.00 90.00
Sites, in units of the cell vectors:
As 0.000 0.000 0.000
H 0.500 0.500 0.500
S 0.500 0.500 0.000
Cl 0.000 0.500 0.500
Cl 0.500 0.000 0.500


# 4
Material: Ho3Al4Ag4
Method: DFT, PBE
State: relaxed

Calculated values
- ΔE_f (eV per atom) = -0.36

a b c (Å): 3.513 4.621 14.327
angles (deg): 80.72 82.97 89.98
Sites, in units of the cell vectors:
Ho 0.000 0.000 0.000
Ho 0.142 0.643 0.715
Ho 0.858 0.357 0.285
Al 0.313 0.812 0.375
Al 0.453 0.453 0.094
Al 0.547 0.547 0.906
Al 0.687 0.188 0.625
Ag 0.262 0.262 0.476
Ag 0.407 0.906 0.187
Ag 0.593 0.094 0.813
Ag 0.738 0.738 0.524


# 5
Material: Ta3MoRu
Method: DFT, PBE
State: relaxed

Calculated values
- ΔE_f (eV per atom) = -0.34

a b c (Å): 8.459 8.459 4.538
angles (deg): 90.00 90.00 148.97
Sites, in units of the cell vectors:
Ta 0.054 0.946 0.750
Ta 0.250 0.750 0.750
Ta 0.445 0.555 0.750
Ta 0.555 0.445 0.250
Ta 0.750 0.250 0.250
Ta 0.946 0.054 0.250
Mo 0.152 0.848 0.250
Mo 0.848 0.152 0.750
Ru 0.349 0.651 0.250
Ru 0.651 0.349 0.750


# 6
Material: K2MnAlAu
Method: DFT, PBE
State: relaxed

Calculated values
- ΔE_f (eV per atom) = 0.63

a b c (Å): 6.601 6.601 4.761
angles (deg): 90.00 90.00 90.00
Sites, in units of the cell vectors:
K 0.000 0.500 0.000
K 0.500 0.000 0.000
Mn 0.000 0.000 0.500
Al 0.500 0.500 0.000
Au 0.500 0.500 0.500


# 7
Material: MoPWS2
Method: DFT, PBE
State: relaxed

Calculated values
- E_form (uncorrected) (eV/f.u.) = 5.6

a b c (Å): 4.570 4.570 4.835
angles (deg): 90.00 90.00 90.00
Sites, in units of the cell vectors:
Mo 0.000 0.000 0.000
P 0.000 0.000 0.500
W 0.500 0.500 0.500
S 0.000 0.500 0.000
S 0.500 0.000 0.000


# 8
Material: CaCr2Au
Method: DFT, PBE
State: relaxed

Calculated values
- ΔE_f (eV per atom) = 0.39

a b c (Å): 4.318 4.318 4.317
angles (deg): 90.00 90.00 90.00
Sites, in units of the cell vectors:
Ca 0.000 0.000 0.000
Cr 0.000 0.500 0.500
Cr 0.500 0.000 0.500
Au 0.500 0.500 0.000


# 9
Material: SbIrI
Method: DFT, PBE
State: relaxed

Calculated values
- E_form (uncorrected) (eV/f.u.) = 0.0

a b c (Å): 7.245 6.556 6.915
angles (deg): 90.00 107.04 90.00
Sites, in units of the cell vectors:
Sb 0.120 0.139 0.369
Sb 0.120 0.361 0.869
Sb 0.880 0.639 0.131
Sb 0.880 0.861 0.631
Ir 0.227 0.015 0.747
Ir 0.227 0.485 0.247
Ir 0.773 0.515 0.753
Ir 0.773 0.985 0.253
I 0.368 0.645 0.639
I 0.368 0.855 0.139
I 0.632 0.145 0.861
I 0.632 0.355 0.361


# 10
Material: La2Tb
Method: DFT, PBE
State: relaxed

Calculated values
- ΔE_f (eV per atom) = 0.10

a b c (Å): 6.463 6.463 6.463
angles (deg): 140.96 140.96 56.40
Sites, in units of the cell vectors:
La 0.157 0.157 0.000
La 0.843 0.843 0.000
Tb 0.500 0.500 0.000


# 11
Material: K2ErU2Se6
Method: DFT, PBE
State: relaxed

Calculated values
- E_form (uncorrected) (eV/f.u.) = -15.6

a b c (Å): 7.206 7.206 8.222
angles (deg): 98.34 98.34 119.96
Sites, in units of the cell vectors:
K 0.166 0.834 0.000
K 0.834 0.166 0.000
Er 0.000 0.000 0.500
U 0.334 0.666 0.500
U 0.666 0.334 0.500
Se 0.066 0.399 0.701
Se 0.264 0.264 0.299
Se 0.399 0.066 0.701
Se 0.601 0.934 0.299
Se 0.736 0.736 0.701
Se 0.934 0.601 0.299


# 12
Material: Cr2NiAg
Method: DFT, PBE
State: relaxed

Calculated values
- ΔE_f (eV per atom) = 0.37

a b c (Å): 4.647 4.647 4.647
angles (deg): 130.57 130.57 72.49
Sites, in units of the cell vectors:
Cr 0.000 0.000 0.000
Cr 0.750 0.250 0.500
Ni 0.250 0.750 0.500
Ag 0.500 0.500 0.000


# 13
Material: InGaSn2
Method: DFT, PBE
State: relaxed

Calculated values
- ΔE_f (eV per atom) = 0.07

a b c (Å): 6.840 6.840 6.840
angles (deg): 38.13 38.13 38.13
Sites, in units of the cell vectors:
In 0.000 0.000 0.000
Ga 0.168 0.168 0.168
Sn 0.573 0.573 0.573
Sn 0.762 0.762 0.762


# 14
Material: RbBaNa2Ga
Method: DFT, PBE
State: relaxed

Calculated values
- ΔE_f (eV per atom) = 0.05

a b c (Å): 6.239 6.239 6.298
angles (deg): 90.00 90.00 90.00
Sites, in units of the cell vectors:
Rb 0.000 0.000 0.000
Ba 0.500 0.500 0.000
Na 0.000 0.500 0.500
Na 0.500 0.000 0.500
Ga 0.500 0.500 0.500


# 15
Material: PaNiAs2Rh2
Method: DFT, PBE
State: relaxed

Calculated values
- ΔE_f (eV per atom) = -0.02

a b c (Å): 6.239 6.239 6.239
angles (deg): 135.35 135.35 64.99
Sites, in units of the cell vectors:
Pa 0.000 0.000 0.000
Ni 0.500 0.500 0.000
As 0.295 0.295 0.000
As 0.705 0.705 0.000
Rh 0.250 0.750 0.500
Rh 0.750 0.250 0.500


# 16
Material: Ac2AlPtO6
Method: DFT, PBE
State: relaxed

Calculated values
- E_form (uncorrected) (eV/f.u.) = -24.5

a b c (Å): 5.721 5.721 5.721
angles (deg): 121.49 121.49 87.44
Sites, in units of the cell vectors:
Ac 0.250 0.750 0.500
Ac 0.750 0.250 0.500
Al 0.000 0.000 0.000
Pt 0.500 0.500 0.000
O 0.226 0.226 0.000
O 0.242 0.242 0.484
O 0.242 0.758 0.000
O 0.758 0.242 0.000
O 0.758 0.758 0.516
O 0.774 0.774 0.000


# 17
Material: La2CrCd
Method: DFT, PBE
State: relaxed

Calculated values
- ΔE_f (eV per atom) = 0.28

a b c (Å): 9.680 9.680 9.680
angles (deg): 22.85 22.85 22.85
Sites, in units of the cell vectors:
La 0.241 0.241 0.241
La 0.759 0.759 0.759
Cr 0.500 0.500 0.500
Cd 0.000 0.000 0.000


# 18
Material: FeMoPd2
Method: DFT, PBE
State: relaxed

Calculated values
- ΔE_f (eV per atom) = 0.06

a b c (Å): 9.102 9.102 9.102
angles (deg): 17.41 17.41 17.41
Sites, in units of the cell vectors:
Fe 0.000 0.000 0.000
Mo 0.500 0.500 0.500
Pd 0.253 0.253 0.253
Pd 0.747 0.747 0.747


# 19
Material: Ca3Pu3CuSe8
Method: DFT, PBE
State: relaxed

Calculated values
- E_form (uncorrected) (eV/f.u.) = -21.8

a b c (Å): 8.249 8.249 8.334
angles (deg): 119.67 119.67 60.01
Sites, in units of the cell vectors:
Ca 0.000 0.000 0.000
Ca 0.000 0.500 0.000
Ca 0.500 0.000 0.000
Pu 0.000 0.500 0.500
Pu 0.500 0.000 0.500
Pu 0.500 0.500 0.500
Cu 0.000 0.000 0.500
Se 0.238 0.238 0.732
Se 0.238 0.755 0.733
Se 0.245 0.762 0.267
Se 0.250 0.250 0.252
Se 0.750 0.750 0.748
Se 0.755 0.238 0.733
Se 0.762 0.245 0.267
Se 0.762 0.762 0.268


# 20
Material: CrSiOsN2
Method: DFT, PBE
State: relaxed

Calculated values
- E_form (uncorrected) (eV/f.u.) = 4.5

a b c (Å): 3.752 3.752 5.326
angles (deg): 90.00 90.00 90.00
Sites, in units of the cell vectors:
Cr 0.000 0.000 0.000
Si 0.500 0.500 0.000
Os 0.500 0.500 0.500
N 0.000 0.500 0.500
N 0.500 0.000 0.500


no.,raw total energy (eV per atom),spin magnetization (μB per cell)
1,-9.094,0.000
2,-10.444,0.008
3,-2.623,0.900
4,-4.009,0.000
5,-11.469,0.000
6,-3.052,4.464
7,-6.379,3.737
8,-5.737,8.713
9,-4.837,0.000
10,-4.730,0.000
11,-5.990,5.000
12,-6.596,0.304
13,-3.370,0.000
14,-1.660,0.000
15,-6.568,1.132
16,-7.221,0.915
17,-4.815,3.510
18,-7.362,3.116
19,-6.855,14.983
20,-7.682,3.420